Record 1
! Mn2MoBr SCAN PBEsol geometry; values from VASP
&SYSTEM
  ibrav = 0, nat = 8, ntyp = 3
/
ATOMIC_SPECIES
Mn 54.94 Mn.upf
Mo 95.94 Mo.upf
Br 79.90 Br.upf
ATOMIC_POSITIONS angstrom
Mn 1.9641 0.0000 1.0211
Mn 1.9306 1.4741 3.5430
Mn 6.2377 1.4741 1.0211
Mn 6.2042 0.0000 3.5430
Mo 0.0000 1.4741 0.0000
Mo 4.2736 0.0000 0.0000
Br -0.1894 0.0000 2.2820
Br 4.0842 1.4741 2.2820
CELL_PARAMETERS angstrom
8.5472 0.0000 0.0000
0.0000 2.9482 0.0000
-0.3788 0.0000 4.5640
! Formation energy without anion corrections ... 686 meV per atom
! Total moment ... 1.31 μB per atom

---

Record 2
! MnMo2Br SCAN PBEsol geometry; values from VASP
&SYSTEM
  ibrav = 0, nat = 12, ntyp = 3
/
ATOMIC_SPECIES
Mn 54.94 Mn.upf
Mo 95.94 Mo.upf
Br 79.90 Br.upf
ATOMIC_POSITIONS angstrom
Mn 0.0000 0.0000 0.0000
Mn 0.0000 1.6770 16.4175
Mn 1.4523 0.8385 8.2087
Mo 0.0000 0.0000 6.2973
Mo 0.0000 0.0000 18.3289
Mo 0.0000 1.6770 10.1202
Mo 0.0000 1.6770 22.7148
Mo 1.4523 0.8385 1.9114
Mo 1.4523 0.8385 14.5061
Br 0.0000 0.0000 12.3131
Br 0.0000 1.6770 4.1044
Br 1.4523 0.8385 20.5219
CELL_PARAMETERS angstrom
2.9046 0.0000 0.0000
-1.4523 2.5155 0.0000
0.0000 0.0000 24.6263
! Energy relative to the lowest polymorph listed for this composition ... 0 meV/atom
! Formation energy without anion corrections ... 655 meV per atom
! Total moment ... 0.33 μB per atom

---

Record 3
! Mn2MoBr SCAN PBEsol geometry; values from VASP
&SYSTEM
  ibrav = 0, nat = 4, ntyp = 3
/
ATOMIC_SPECIES
Mn 54.94 Mn.upf
Mo 95.94 Mo.upf
Br 79.90 Br.upf
ATOMIC_POSITIONS angstrom
Mn 0.0000 0.0000 0.0000
Mn 1.4467 0.0000 2.2148
Mo 0.0000 2.1395 2.2148
Br 1.4467 2.1395 0.0000
CELL_PARAMETERS angstrom
2.8934 0.0000 0.0000
0.0000 4.2790 0.0000
0.0000 0.0000 4.4296
! Formation energy without anion corrections ... 686 meV per atom
! Total moment ... 0.07 μB per atom

---

Record 4
! MnMo2Br SCAN PBEsol geometry; values from VASP
&SYSTEM
  ibrav = 0, nat = 8, ntyp = 3
/
ATOMIC_SPECIES
Mn 54.94 Mn.upf
Mo 95.94 Mo.upf
Br 79.90 Br.upf
ATOMIC_POSITIONS angstrom
Mn 0.0000 0.0000 0.0000
Mn 1.8388 1.8388 4.5561
Mo 0.0000 1.8388 2.2780
Mo 0.0000 1.8388 6.8341
Mo 1.8388 0.0000 2.2780
Mo 1.8388 0.0000 6.8341
Br 0.0000 0.0000 4.5561
Br 1.8388 1.8388 0.0000
CELL_PARAMETERS angstrom
3.6776 0.0000 0.0000
0.0000 3.6776 0.0000
0.0000 0.0000 9.1121
! Energy relative to the lowest polymorph listed for this composition ... 190 meV/atom
! Formation energy without anion corrections ... 845 meV per atom
! Total moment ... 0.81 μB per atom

---

Record 5
! MnMoBr2 SCAN PBEsol geometry; values from VASP
&SYSTEM
  ibrav = 0, nat = 8, ntyp = 3
/
ATOMIC_SPECIES
Mn 54.94 Mn.upf
Mo 95.94 Mo.upf
Br 79.90 Br.upf
ATOMIC_POSITIONS angstrom
Mn 0.0000 0.0000 0.0000
Mn 7.2500 1.5897 0.0000
Mo -0.5698 1.5897 1.9930
Mo 6.6802 0.0000 1.9930
Br 1.3952 0.0000 2.5964
Br 4.7152 1.5897 1.3897
Br 8.6452 1.5897 2.5964
Br 11.9653 0.0000 1.3897
CELL_PARAMETERS angstrom
14.5001 0.0000 0.0000
0.0000 3.1795 0.0000
-1.1396 0.0000 3.9860
! Formation energy without anion corrections ... -53 meV per atom
! Total moment ... 0.77 μB per atom

---

Record 6
! MnMo4Br SCAN PBEsol geometry; values from VASP
&SYSTEM
  ibrav = 0, nat = 6, ntyp = 3
/
ATOMIC_SPECIES
Mn 54.94 Mn.upf
Mo 95.94 Mo.upf
Br 79.90 Br.upf
ATOMIC_POSITIONS angstrom
Mn 0.0000 0.0000 0.0000
Mo 2.7598 2.7598 2.7598
Mo 4.6020 4.6020 2.7598
Mo 4.6020 2.7598 4.6020
Mo 2.7598 4.6020 4.6020
Br 5.5213 5.5213 5.5213
CELL_PARAMETERS angstrom
0.0000 3.6809 3.6809
3.6809 0.0000 3.6809
3.6809 3.6809 0.0000
! Formation energy without anion corrections ... 862 meV per atom
! Total moment ... 0.55 μB per atom

---

What did the third record say?
! Mn2MoBr SCAN PBEsol geometry; values from VASP
&SYSTEM
  ibrav = 0, nat = 4, ntyp = 3
/
ATOMIC_SPECIES
Mn 54.94 Mn.upf
Mo 95.94 Mo.upf
Br 79.90 Br.upf
ATOMIC_POSITIONS angstrom
Mn 0.0000 0.0000 0.0000
Mn 1.4467 0.0000 2.2148
Mo 0.0000 2.1395 2.2148
Br 1.4467 2.1395 0.0000
CELL_PARAMETERS angstrom
2.8934 0.0000 0.0000
0.0000 4.2790 0.0000
0.0000 0.0000 4.4296
! Formation energy without anion corrections ... 686 meV per atom
! Total moment ... 0.07 μB per atom